Here is crystalline GdNb6Ge4 at its relaxed geometry from OQMD via LeMat-Bulk. Energies are from PBE. Values from VASP.

Cell and atoms, written as Quantum ESPRESSO input:
```
&SYSTEM
  ibrav = 0, nat = 11, ntyp = 3
/
ATOMIC_SPECIES
Ge 72.64 Ge.upf
Nb 92.91 Nb.upf
Gd 157.25 Gd.upf
CELL_PARAMETERS angstrom
-1.3570 4.2010 6.6627
2.1583 -0.0899 7.6952
4.0652 4.5687 5.1462
ATOMIC_POSITIONS crystal
Ge 0.6672 0.6672 0.6672
Ge 0.3328 0.3328 0.3328
Ge 0.8711 0.8711 0.8711
Ge 0.1289 0.1289 0.1289
Nb 0.1094 0.6009 0.6009
Nb 0.6009 0.6009 0.1094
Nb 0.3991 0.8906 0.3991
Nb 0.8906 0.3991 0.3991
Nb 0.3991 0.3991 0.8906
Nb 0.6009 0.1094 0.6009
Gd 0.0000 0.0000 0.0000
```

Results
VASP energy = -0.29800 Ha/atom